Entry 1:
Li4AcIn2Pb | PBE | optimized geometry

abc: 4.8578 4.8578 27.7757
angles: 90.00 90.00 120.00
Closest atoms and distances in Å follow each position.
Space group R-3m (No. 166, hexagonal axes)
Unique sites:
Li1 0.0000 0.0000 0.0975 (multiplicity 6)  1 Pb 2.71, 3 In 2.83
Li2 0.0000 0.0000 0.3692 (multiplicity 6)  3 Pb 2.98, 3 In 3.12, 3 Li 3.29
Ac1 0.0000 0.0000 0.5000 (multiplicity 3)  8 Li 3.40-3.63, 6 In 3.61
In1 0.0000 0.0000 0.2483 (multiplicity 6)  6 Li 2.83-3.12
Pb1 0.0000 0.0000 0.0000 (multiplicity 3)  8 Li 2.71-2.98



Entry 2:
Li4Ac2InPb3 | PBE | optimized geometry

abc: 4.7570 4.7570 11.3770
angles: 90.00 90.00 90.00
Closest atoms and distances in Å follow each position.
Space group P-4m2 (No. 115)
Unique sites:
Li1 0.0000 0.0000 0.0000 (multiplicity 1)  4 Pb 2.79
Li2 0.0000 0.5000 0.3651 (multiplicity 2)  3 Pb 2.70-2.83, 2 In 2.83
Li3 0.5000 0.5000 0.0000 (multiplicity 1)  4 Pb 2.79
Ac1 0.0000 0.5000 0.7603 (multiplicity 2)  6 Pb 3.60-3.80, 8 Li 3.62-3.65, 2 In 3.80
In1 0.5000 0.5000 0.5000 (multiplicity 1)  4 Li 2.83
Pb1 0.0000 0.0000 0.5000 (multiplicity 1)  4 Li 2.83
Pb2 0.0000 0.5000 0.1276 (multiplicity 2)  5 Li 2.70-2.79



Entry 3:
Li2AcInPb2 | PBE | optimized geometry

abc: 5.0278 5.0278 27.5654
angles: 90.00 90.00 120.00
Closest atoms and distances in Å follow each position.
Space group R-3m (No. 166, hexagonal axes)
Unique sites:
Li1 0.0000 0.0000 0.2387 (multiplicity 6)  3 Pb 3.02
Ac1 0.0000 0.0000 0.0000 (multiplicity 3)  6 Pb 3.40
In1 0.0000 0.0000 0.5000 (multiplicity 3)  2 Pb 2.82
Pb1 0.0000 0.0000 0.3979 (multiplicity 6)  1 In 2.82, 3 Li 3.02



Entry 4:
Li3Ac2InPb4 | PBE | optimized geometry

abc: 4.7853 4.7853 11.8761
angles: 90.00 90.00 90.00
Closest atoms and distances in Å follow each position.
Space group P-4m2 (No. 115)
Unique sites:
Li1 0.0000 0.0000 0.0000 (multiplicity 1)  4 Pb 3.01
Li2 0.0000 0.5000 0.6223 (multiplicity 2)  5 Pb 2.66-2.80
Ac1 0.0000 0.5000 0.2608 (multiplicity 2)  8 Pb 3.62-3.71, 6 Li 3.66-3.91, 2 In 3.91
In1 0.5000 0.5000 0.0000 (multiplicity 1)  4 Pb 3.01
Pb1 0.0000 0.0000 0.5000 (multiplicity 1)  4 Li 2.80
Pb2 0.0000 0.5000 0.8465 (multiplicity 2)  1 Li 2.66
Pb3 0.5000 0.5000 0.5000 (multiplicity 1)  4 Li 2.80



Calculated values (eV per atom) of ΔH_f (0 K) for the records, taken in order: -0.2499, -0.4249, -0.1627, -0.4361.
Calculated values (μB per cell) of total magnetic moment for the records, taken in order: 0.000, 0.000, 0.000, 0.000.